[1]
Material: LaFeSi
Method: DFT, PBE
State: relaxed

Cell and atoms, written as POSCAR:
```
LaFeSi
1.0
4.094 0.000 0.000
0.000 4.094 0.000
0.000 0.000 7.162
La Fe Si
2 2 2
direct
0.250 0.250 0.191 La
0.750 0.750 0.809 La
0.250 0.750 0.500 Fe
0.750 0.250 0.500 Fe
0.250 0.250 0.656 Si
0.750 0.750 0.344 Si
```

Its uncorrected formation energy is -56.5 kJ/mol of atoms. As for the space group: P4/nmm (129). Its spin magnetization is 0.0 μB/cell.


[2]
Material: LaFe10Si2
Method: DFT, PBE
State: relaxed

Cell and atoms, written as POSCAR:
```
LaFe10Si2
1.0
4.229 -4.853 0.000
4.229 4.853 0.000
0.000 0.000 8.211
La Fe Si
2 20 4
direct
0.117 0.883 0.750 La
0.883 0.117 0.250 La
0.129 0.389 0.750 Fe
0.167 0.833 0.103 Fe
0.167 0.833 0.397 Fe
0.237 0.237 0.000 Fe
0.237 0.237 0.500 Fe
0.243 0.480 0.250 Fe
0.389 0.129 0.250 Fe
0.393 0.607 0.577 Fe
0.393 0.607 0.923 Fe
0.480 0.243 0.750 Fe
0.520 0.757 0.250 Fe
0.607 0.393 0.077 Fe
0.607 0.393 0.423 Fe
0.611 0.871 0.750 Fe
0.757 0.520 0.750 Fe
0.763 0.763 0.000 Fe
0.763 0.763 0.500 Fe
0.833 0.167 0.603 Fe
0.833 0.167 0.897 Fe
0.871 0.611 0.250 Fe
0.000 0.500 0.000 Si
0.000 0.500 0.500 Si
0.500 0.000 0.000 Si
0.500 0.000 0.500 Si
```

Its uncorrected formation energy is -16.9 kJ/mol of atoms. As for the space group: Cmcm (63). Its spin magnetization is 40.8 μB/cell.